VASP calculation (GGA-PBE) on TlBSe2N after structural relaxation.

a b c (Å): 5.4868 5.4868 4.3498
angles (deg): 90.00 90.00 90.00
Site moments in Bohr magnetons follow the coordinates.
Element x y z (fractional)
Tl 0.0000 0.0000 0.0000  0.00
Se 0.0000 0.5000 0.0000  0.32
B 0.5000 0.5000 0.5000  -0.03
Se 0.5000 0.0000 0.0000  0.32
N 0.0000 0.0000 0.5000  1.15

Results
- formation energy (no corrections) (meV/atom) = 2047.1
- total magnetic moment (μB per formula unit) = 2.60
- N(E_F) (states/eV/f.u.) = 4.07



VASP calculation (GGA-PBE) on CsZnGaBi2 after structural relaxation.

a b c (Å): 4.9309 4.9309 7.7328
angles (deg): 108.59 108.59 90.00
Element x y z (fractional)
Bi 0.3639 0.3639 0.7278
Ga 0.2500 0.7500 0.5000
Cs 0.0000 0.0000 0.0000
Bi 0.6361 0.6361 0.2722
Zn 0.7500 0.2500 0.5000

Results
- energy relative to the elements (kcal/mol of atoms) = -3.72
- total magnetic moment (μB per formula unit) = 0.00
- N(E_F) (states/eV/f.u.) = 2.16



VASP calculation (GGA-PBE) on Ac2PrSmY5 after structural relaxation.

a b c (Å): 5.8448 10.5429 11.0121
angles (deg): 90.00 90.00 106.09
Element x y z (fractional)
Ac 0.8838 0.7675 0.8211
Y 0.2977 0.5954 0.7064
Y 0.7151 0.4303 0.8080
Pr 0.5826 0.1651 0.9605
Y 0.9809 0.9617 0.5269
Y 0.7023 0.4046 0.2064
Y 0.2849 0.5697 0.3080
Sm 0.2055 0.4109 0.0108
Sm 0.7945 0.5891 0.5108
Ac 0.8876 0.7753 0.2308
Pr 0.4174 0.8349 0.4605
Ac 0.1162 0.2325 0.3211
Ac 0.1124 0.2247 0.7308
Y 0.5201 0.0402 0.2375
Y 0.0191 0.0383 0.0269
Y 0.4799 0.9598 0.7375
Y 0.3918 0.7836 0.0219
Y 0.6082 0.2164 0.5219

Results
- energy relative to the elements (kcal/mol of atoms) = 3.50
- total magnetic moment (μB per formula unit) = 0.00
- N(E_F) (states/eV/f.u.) = 13.47



| no. | calculated total energy (eV per formula unit) | theoretical density (g/cm3) |
| --- | --- | --- |
| 1 | -14.10 | 4.9 |
| 2 | -13.72 | 6.8 |
| 3 | -48.67 | 6.1 |